BaZn2Se2Cl2O6: relaxed, PBE.

Results
V = 16.60 A^3/atom
total energy = -4.869 eV/atom

a = 5.5236 Å, b = 5.5236 Å, c = 24.5039 Å
α = 90.00°, β = 90.00°, γ = 120.00°
Closest atoms and distances in Å follow each position.
Sites, in units of the cell vectors:
Ba 0.0000 0.0000 0.0000  12 O 3.11, 2 Cl 3.44
Ba 0.3333 0.6667 0.3333  12 O 3.11, 2 Cl 3.44
Ba 0.6667 0.3333 0.6667  12 O 3.11, 2 Cl 3.44
Cl 0.0000 0.0000 0.1403  1 Zn 2.24
Cl 0.3333 0.6667 0.1930  1 Zn 2.25
Cl 0.3333 0.6667 0.4736  1 Zn 2.24
Cl 0.6667 0.3333 0.5264  1 Zn 2.24
Cl 0.6667 0.3333 0.8070  1 Zn 2.25
Cl 0.0000 0.0000 0.8597  1 Zn 2.24
O 0.5090 0.0180 0.0587  1 Se 1.73
O 0.5090 0.4910 0.0587  1 Se 1.73
O 0.9820 0.4910 0.0587  1 Se 1.73
O 0.3512 0.1756 0.2747  1 Se 1.73
O 0.8244 0.1756 0.2747  1 Se 1.73
O 0.8244 0.6488 0.2747  1 Se 1.73
O 0.3154 0.1577 0.3920  1 Se 1.73
O 0.8423 0.1577 0.3920  1 Se 1.73
O 0.8423 0.6846 0.3920  1 Se 1.73
O 0.1577 0.3154 0.6080  1 Se 1.73
O 0.1577 0.8423 0.6080  1 Se 1.73
O 0.6846 0.8423 0.6080  1 Se 1.73
O 0.1756 0.3512 0.7253  1 Se 1.73
O 0.1756 0.8244 0.7253  1 Se 1.73
O 0.6488 0.8244 0.7253  1 Se 1.73
O 0.0180 0.5090 0.9413  1 Se 1.73
O 0.4910 0.5090 0.9413  1 Se 1.73
O 0.4910 0.9820 0.9413  1 Se 1.73
Se 0.6667 0.3333 0.0931  3 O 1.73
Se 0.6667 0.3333 0.2403  3 O 1.73
Se 0.0000 0.0000 0.4264  3 O 1.73
Se 0.0000 0.0000 0.5736  3 O 1.73
Se 0.3333 0.6667 0.7597  3 O 1.73
Se 0.3333 0.6667 0.9069  3 O 1.73
Zn 0.3333 0.6667 0.1014  3 O 1.98
Zn 0.0000 0.0000 0.2319  3 O 1.98
Zn 0.6667 0.3333 0.4348  3 O 1.98
Zn 0.3333 0.6667 0.5652  3 O 1.98
Zn 0.0000 0.0000 0.7681  3 O 1.98
Zn 0.6667 0.3333 0.8986  3 O 1.98

Ba5Ta2Cl2O9: relaxed, PBE.

Results
V = 21.26 A^3/atom
total energy = -7.423 eV/atom
total moment = 0.0 μB per cell

a = 5.9634 Å, b = 5.9634 Å, c = 24.8472 Å
α = 90.00°, β = 90.00°, γ = 120.00°
Closest atoms and distances in Å follow each position.
Sites, in units of the cell vectors:
Ba 0.3333 0.6667 0.0801  3 O 2.55
Ba 0.6667 0.3333 0.1714  9 O 2.73-3.01
Ba 0.3333 0.6667 0.2500  12 O 2.95-2.99
Ba 0.6667 0.3333 0.3286  9 O 2.73-3.01
Ba 0.3333 0.6667 0.4199  3 O 2.55
Ba 0.6667 0.3333 0.5801  3 O 2.55
Ba 0.3333 0.6667 0.6714  9 O 2.73-3.01
Ba 0.6667 0.3333 0.7500  12 O 2.95-2.99
Ba 0.3333 0.6667 0.8286  9 O 2.73-3.01
Ba 0.6667 0.3333 0.9199  3 O 2.55
Cl 0.6667 0.3333 0.0466  2 Ba 3.10-3.15
Cl 0.6667 0.3333 0.4534  2 Ba 3.10-3.15
Cl 0.3333 0.6667 0.5466  2 Ba 3.10-3.15
Cl 0.3333 0.6667 0.9534  2 Ba 3.10-3.15
O 0.1636 0.3268 0.1545  1 Ta 1.90
O 0.1632 0.8364 0.1545  1 Ta 1.90
O 0.6731 0.8368 0.1545  1 Ta 1.90
O 0.2985 0.1492 0.2500  2 Ta 2.16
O 0.8508 0.1493 0.2500  2 Ta 2.16
O 0.8507 0.7015 0.2500  2 Ta 2.16
O 0.1636 0.3268 0.3455  1 Ta 1.90
O 0.1632 0.8364 0.3455  1 Ta 1.90
O 0.6731 0.8368 0.3455  1 Ta 1.90
O 0.3269 0.1632 0.6545  1 Ta 1.90
O 0.8368 0.1636 0.6545  1 Ta 1.90
O 0.8364 0.6732 0.6545  1 Ta 1.90
O 0.1493 0.2985 0.7500  2 Ta 2.16
O 0.1492 0.8507 0.7500  2 Ta 2.16
O 0.7015 0.8508 0.7500  2 Ta 2.16
O 0.3269 0.1632 0.8455  1 Ta 1.90
O 0.8368 0.1636 0.8455  1 Ta 1.90
O 0.8364 0.6732 0.8455  1 Ta 1.90
Ta 0.0000 0.0000 0.1893  3 O 1.90
Ta 0.0000 0.0000 0.3107  3 O 1.90
Ta 0.0000 0.0000 0.6893  3 O 1.90
Ta 0.0000 0.0000 0.8107  3 O 1.90

Ba3Tm2Cl2O5: relaxed, PBE.

Results
V = 19.65 A^3/atom
total energy = -6.642 eV/atom
total moment = 0.0 μB per cell

a = 12.7230 Å, b = 12.7230 Å, c = 12.7230 Å
α = 160.22°, β = 160.22°, γ = 28.12°
Closest atoms and distances in Å follow each position.
Sites, in units of the cell vectors:
Ba 0.0000 0.0000 0.0000  12 O 3.09-3.23
Ba 0.1627 0.1627 0.0000  4 O 2.73
Ba 0.8373 0.8373 0.0000  4 O 2.73
Cl 0.2944 0.2944 0.0000  1 Tm 2.98, 5 Ba 3.25-3.27
Cl 0.7056 0.7056 0.0000  1 Tm 2.98, 5 Ba 3.25-3.27
O 0.5000 0.5000 0.0000  2 Tm 2.10
O 0.5962 0.0962 0.5000  2 Tm 2.20
O 0.9038 0.4038 0.5000  2 Tm 2.20
O 0.0962 0.5962 0.5000  2 Tm 2.20
O 0.4038 0.9038 0.5000  2 Tm 2.20
Tm 0.4150 0.4150 0.0000  5 O 2.10-2.20
Tm 0.5850 0.5850 0.0000  5 O 2.10-2.20

Ba2Zn3Cl2O4: relaxed, PBE.

Results
V = 19.82 A^3/atom
total energy = -4.669 eV/atom

a = 7.7998 Å, b = 7.7998 Å, c = 7.7998 Å
α = 137.00°, β = 137.00°, γ = 62.43°
Closest atoms and distances in Å follow each position.
Sites, in units of the cell vectors:
Ba 0.3583 0.3583 0.0000  4 O 2.77
Ba 0.6417 0.6417 0.0000  4 O 2.77
Cl 0.7500 0.2500 0.5000  4 Ba 3.20, 2 Zn 3.34
Cl 0.2500 0.7500 0.5000  4 Ba 3.20, 2 Zn 3.34
O 0.7500 0.2500 0.0000  3 Zn 2.02
O 0.2500 0.7500 0.0000  3 Zn 2.02
O 0.2500 0.2500 0.5000  3 Zn 2.02
O 0.7500 0.7500 0.5000  3 Zn 2.02
Zn 0.0000 0.0000 0.0000  4 O 2.02
Zn 0.5000 0.0000 0.5000  4 O 2.02
Zn 0.0000 0.5000 0.5000  4 O 2.02

BaPaCl6: relaxed, PBE.

Results
V = 38.81 A^3/atom
total energy = -4.929 eV/atom
total moment = 1.0 μB per cell

a = 7.3250 Å, b = 7.3250 Å, c = 7.3773 Å
α = 116.11°, β = 116.11°, γ = 67.62°
Closest atoms and distances in Å follow each position.
Sites, in units of the cell vectors:
Ba 0.5000 0.5000 0.5000  6 Cl 3.07-3.12
Cl 0.2357 0.2357 0.0634  1 Pa 2.65
Cl 0.8484 0.3056 0.2991  1 Pa 2.65
Cl 0.3056 0.8484 0.2991  1 Pa 2.65
Cl 0.6944 0.1516 0.7009  1 Pa 2.65
Cl 0.1516 0.6944 0.7009  1 Pa 2.65
Cl 0.7643 0.7643 0.9366  1 Pa 2.65
Pa 0.0000 0.0000 0.0000  6 Cl 2.65

BaPdCl5: relaxed, PBE.

Results
V = 28.29 A^3/atom
total energy = -3.648 eV/atom

a = 7.2761 Å, b = 7.2761 Å, c = 9.9405 Å
α = 109.98°, β = 109.98°, γ = 54.62°
Closest atoms and distances in Å follow each position.
Sites, in units of the cell vectors:
Ba 0.4999 0.5001 0.2500  10 Cl 3.34-3.39
Ba 0.5001 0.4999 0.7500  10 Cl 3.34-3.39
Cl 0.8803 0.3901 0.0674  1 Pd 2.35
Cl 0.3897 0.8818 0.0681  1 Pd 2.35
Cl 0.9996 0.0004 0.2500  2 Pd 2.49
Cl 0.1182 0.6103 0.4319  1 Pd 2.35
Cl 0.6099 0.1197 0.4326  1 Pd 2.35
Cl 0.3901 0.8803 0.5674  1 Pd 2.35
Cl 0.8818 0.3897 0.5681  1 Pd 2.35
Cl 0.0004 0.9996 0.7500  2 Pd 2.49
Cl 0.6103 0.1182 0.9319  1 Pd 2.35
Cl 0.1197 0.6099 0.9326  1 Pd 2.35
Pd 0.0000 0.0000 0.0000  6 Cl 2.35-2.49
Pd 0.0000 0.0000 0.5000  6 Cl 2.35-2.49

BaPdCl4: relaxed, PBE.

Results
V = 27.74 A^3/atom
total energy = -3.911 eV/atom

a = 6.9450 Å, b = 12.6293 Å, c = 7.5907 Å
α = 90.00°, β = 90.00°, γ = 90.00°
Closest atoms and distances in Å follow each position.
Sites, in units of the cell vectors:
Ba 0.5000 0.1479 0.2500  8 Cl 3.19-3.24
Ba 0.0000 0.6479 0.2500  8 Cl 3.19-3.24
Ba 0.0000 0.3521 0.7500  8 Cl 3.19-3.24
Ba 0.5000 0.8521 0.7500  8 Cl 3.19-3.24
Cl 0.1106 0.1732 0.0303  1 Pd 2.33
Cl 0.3894 0.6732 0.0303  1 Pd 2.33
Cl 0.2057 0.4361 0.1009  1 Pd 2.33
Cl 0.2943 0.9361 0.1009  1 Pd 2.33
Cl 0.7943 0.4361 0.3991  1 Pd 2.33
Cl 0.7057 0.9361 0.3991  1 Pd 2.33
Cl 0.8894 0.1732 0.4697  1 Pd 2.33
Cl 0.6106 0.6732 0.4697  1 Pd 2.33
Cl 0.3894 0.3268 0.5303  1 Pd 2.33
Cl 0.1106 0.8268 0.5303  1 Pd 2.33
Cl 0.2943 0.0639 0.6009  1 Pd 2.33
Cl 0.2057 0.5639 0.6009  1 Pd 2.33
Cl 0.7057 0.0639 0.8991  1 Pd 2.33
Cl 0.7943 0.5639 0.8991  1 Pd 2.33
Cl 0.6106 0.3268 0.9697  1 Pd 2.33
Cl 0.8894 0.8268 0.9697  1 Pd 2.33
Pd 0.0000 0.0000 0.0000  4 Cl 2.33
Pd 0.5000 0.5000 0.0000  4 Cl 2.33
Pd 0.0000 0.0000 0.5000  4 Cl 2.33
Pd 0.5000 0.5000 0.5000  4 Cl 2.33

BaTh2Cl2: relaxed, PBE.

Results
V = 33.20 A^3/atom
total energy = -4.900 eV/atom
total moment = 0.1 μB per cell

a = 8.7891 Å, b = 8.7891 Å, c = 8.7891 Å
α = 136.62°, β = 65.28°, γ = 133.74°
Closest atoms and distances in Å follow each position.
Sites, in units of the cell vectors:
Ba 0.4957 0.4957 0.0000  4 Cl 3.15, 2 Ba 3.45
Ba 0.9957 0.9957 0.0000  4 Cl 3.15, 2 Ba 3.45
Cl 0.1594 0.5998 0.2679  2 Th 2.89-2.95, 2 Ba 3.15, 1 Cl 3.18
Cl 0.8319 0.0998 0.4404  2 Th 2.89-2.95, 2 Ba 3.15, 1 Cl 3.18
Cl 0.6594 0.3915 0.5596  2 Th 2.89-2.95, 2 Ba 3.15, 1 Cl 3.18
Cl 0.3319 0.8915 0.7321  2 Th 2.89-2.95, 2 Ba 3.15, 1 Cl 3.18
Th 0.4983 0.1240 0.1308  2 Cl 2.89-2.95
Th 0.9983 0.8675 0.3743  2 Cl 2.89-2.95
Th 0.4932 0.6240 0.6257  2 Cl 2.89-2.95
Th 0.9932 0.3675 0.8692  2 Cl 2.89-2.95

> What is the V in the third record?

19.65 A^3/atom

Copy entry 3 word for word.
Ba3Tm2Cl2O5: relaxed, PBE.

Results
V = 19.65 A^3/atom
total energy = -6.642 eV/atom
total moment = 0.0 μB per cell

a = 12.7230 Å, b = 12.7230 Å, c = 12.7230 Å
α = 160.22°, β = 160.22°, γ = 28.12°
Closest atoms and distances in Å follow each position.
Sites, in units of the cell vectors:
Ba 0.0000 0.0000 0.0000  12 O 3.09-3.23
Ba 0.1627 0.1627 0.0000  4 O 2.73
Ba 0.8373 0.8373 0.0000  4 O 2.73
Cl 0.2944 0.2944 0.0000  1 Tm 2.98, 5 Ba 3.25-3.27
Cl 0.7056 0.7056 0.0000  1 Tm 2.98, 5 Ba 3.25-3.27
O 0.5000 0.5000 0.0000  2 Tm 2.10
O 0.5962 0.0962 0.5000  2 Tm 2.20
O 0.9038 0.4038 0.5000  2 Tm 2.20
O 0.0962 0.5962 0.5000  2 Tm 2.20
O 0.4038 0.9038 0.5000  2 Tm 2.20
Tm 0.4150 0.4150 0.0000  5 O 2.10-2.20
Tm 0.5850 0.5850 0.0000  5 O 2.10-2.20

Repeat the fourth record exactly.
Ba2Zn3Cl2O4: relaxed, PBE.

Results
V = 19.82 A^3/atom
total energy = -4.669 eV/atom

a = 7.7998 Å, b = 7.7998 Å, c = 7.7998 Å
α = 137.00°, β = 137.00°, γ = 62.43°
Closest atoms and distances in Å follow each position.
Sites, in units of the cell vectors:
Ba 0.3583 0.3583 0.0000  4 O 2.77
Ba 0.6417 0.6417 0.0000  4 O 2.77
Cl 0.7500 0.2500 0.5000  4 Ba 3.20, 2 Zn 3.34
Cl 0.2500 0.7500 0.5000  4 Ba 3.20, 2 Zn 3.34
O 0.7500 0.2500 0.0000  3 Zn 2.02
O 0.2500 0.7500 0.0000  3 Zn 2.02
O 0.2500 0.2500 0.5000  3 Zn 2.02
O 0.7500 0.7500 0.5000  3 Zn 2.02
Zn 0.0000 0.0000 0.0000  4 O 2.02
Zn 0.5000 0.0000 0.5000  4 O 2.02
Zn 0.0000 0.5000 0.5000  4 O 2.02